NbFeO2 (GGA+U, optimized geometry); V = 13.830 A^3/atom; uncorrected energy = -7.514 eV per atom; D(E_F) = 6.6 states/eV/cell; M_tot = 1.191 μB/f.u.; space group = I-42d, No. 122
1.0
-2.4320 2.4320 4.6765
2.4320 -2.4320 4.6765
2.4320 2.4320 -4.6765
Nb Fe O
2 2 4
Cartesian
0.0000 0.0000 0.0000
0.0000 2.4320 2.3383
2.4320 0.0000 2.3383
0.0000 0.0000 4.6765
1.2160 -1.1520 3.5074
1.2800 1.2160 1.1691
1.2160 3.5840 -1.1691
1.1520 1.2160 5.8457


SrLiMn2O4 (GGA+U, optimized geometry); V = 11.577 A^3/atom; uncorrected energy = -6.750 eV per atom; D(E_F) = 2.5 states/eV/cell; M_tot = 9.000 μB/f.u.; space group = Cmcm, No. 63
1.0
1.6481 -5.3424 0.0000
1.6481 5.3424 0.0000
0.0000 0.0000 10.5186
Sr Li Mn O
2 2 4 8
Cartesian
1.6481 4.2197 7.8890
1.6481 -4.2197 2.6297
1.6481 3.5789 2.6297
1.6481 -3.5789 7.8890
1.6481 1.4288 5.8357
1.6481 1.4288 9.9423
1.6481 -1.4288 0.5764
1.6481 -1.4288 4.6829
0.0000 0.0000 0.0000
0.0000 0.0000 5.2593
1.6481 2.4777 1.1498
1.6481 2.4777 4.1095
1.6481 0.8256 7.8890
1.6481 -0.8256 2.6297
1.6481 -2.4777 6.4091
1.6481 -2.4777 9.3688


M_tot of number 2 (SrLiMn2O4)? 9.000 μB/f.u.


Among the records above, which one has the highest D(E_F)? NbFeO2